ErTmAgPt: relaxed, PBE.

Values from the calculation:
ΔE_f (eV per atom): -0.822
Magnetization (μB/cell): 0.000
SG: F-43m

```
4
Lattice="0.000 3.512 3.512 3.512 0.000 3.512 3.512 3.512 0.000" Properties=species:S:1:pos:R:3 pbc="T T T"
Er 0.000 0.000 0.000
Tm 3.512 3.512 3.512
Ag 5.267 5.267 5.267
Pt 1.756 1.756 1.756
```